1.
DFT (PBE) results for an optimized crystal structure of CrMoW3.

Values from the calculation:
DOS(E_F) (states/eV/cell): 3.33
ρ (g cm⁻³): 13.2
Polymorph energy (0 for the lowest one) (meV/atom): 1118
SG: Pm-3m (221)
Energy of formation from the pure elements (eV/atom): 1.529

Cell lengths 4.4533, 4.4533, 4.4533 Å; angles 90.00, 90.00, 90.00 degrees
With the nearest neighbours (Å) after each atom.
Positions (direct):
Cr1 0.0000 0.0000 0.0000  6 W 2.23
Mo1 0.5000 0.5000 0.5000  12 W 3.15
W1 0.0000 0.0000 0.5000  2 Cr 2.23
W2 0.0000 0.5000 0.0000  2 Cr 2.23
W3 0.5000 0.0000 0.0000  2 Cr 2.23



2.
DFT (PBE) results for an optimized crystal structure of CsNaCaSn.

Values from the calculation:
DOS(E_F) (states/eV/cell): 0.72
ρ (g cm⁻³): 3.8
SG: F-43m (216)
Energy of formation from the pure elements (eV/atom): -0.159

Cell lengths 5.8021, 5.8021, 5.8021 Å; angles 60.00, 60.00, 60.00 degrees
With the nearest neighbours (Å) after each atom.
Positions (direct):
Cs1 0.0000 0.0000 0.0000  4 Na 3.55, 4 Ca 3.55
Na1 0.7500 0.7500 0.7500  4 Cs 3.55, 4 Sn 3.55
Ca1 0.2500 0.2500 0.2500  4 Sn 3.55, 4 Cs 3.55
Sn1 0.5000 0.5000 0.5000  4 Na 3.55, 4 Ca 3.55



3.
DFT (PBE) results for an optimized crystal structure of Tb2Be4Pt3Rh.

Values from the calculation:
DOS(E_F) (states/eV/cell): 5.97
ρ (g cm⁻³): 11.3
SG: P-4m2 (115)
Energy of formation from the pure elements (eV/atom): -0.874

Cell lengths 4.0445, 4.0445, 9.3256 Å; angles 90.00, 90.00, 90.00 degrees
With the nearest neighbours (Å) after each atom.
Positions (direct):
Tb1 0.0000 0.5000 0.2459  2 Rh 3.06, 6 Pt 3.06-3.10, 8 Be 3.08-3.12
Tb2 0.5000 0.0000 0.7541  2 Rh 3.06, 6 Pt 3.06-3.10, 8 Be 3.08-3.12
Be1 0.0000 0.0000 0.5000  4 Pt 2.34
Be2 0.0000 0.5000 0.8775  2 Rh 2.32, 3 Pt 2.32-2.35
Be3 0.5000 0.0000 0.1225  2 Rh 2.32, 3 Pt 2.32-2.35
Be4 0.5000 0.5000 0.5000  4 Pt 2.34
Pt1 0.0000 0.0000 0.0000  4 Be 2.32
Pt2 0.0000 0.5000 0.6252  5 Be 2.34-2.35
Pt3 0.5000 0.0000 0.3748  5 Be 2.34-2.35
Rh1 0.5000 0.5000 0.0000  4 Be 2.32



4.
DFT (PBE) results for an optimized crystal structure of SmHOs.

Values from the calculation:
Raw total energy (eV/cell): -38.17
DOS(E_F) (states/eV/cell): 3.81
ρ (g cm⁻³): 11.8
SG: Cmcm (63)

Cell lengths 8.2430, 8.2430, 3.8595 Å; angles 90.00, 90.00, 158.41 degrees
With the nearest neighbours (Å) after each atom.
Positions (direct):
Sm1 0.0910 0.9090 0.7500  6 H 2.61-2.63
Sm2 0.9090 0.0910 0.2500  6 H 2.61-2.63
H1 0.4599 0.5401 0.7500  2 H 2.33
H2 0.5401 0.4599 0.2500  2 H 2.33
Os1 0.2303 0.7697 0.2500  4 Os 2.55
Os2 0.7697 0.2303 0.7500  4 Os 2.55



5.
DFT (PBE) results for an optimized crystal structure of LiZn8Ni6.

Values from the calculation:
DOS(E_F) (states/eV/cell): 6.87
ρ (g cm⁻³): 7.0
SG: R-3 (148)
Energy of formation from the pure elements (eV/atom): -0.103

Cell lengths 6.3630, 6.3630, 6.3630 Å; angles 66.88, 66.88, 66.88 degrees
With the nearest neighbours (Å) after each atom.
Positions (direct):
Li1 0.0000 0.0000 0.0000  6 Ni 2.44
Zn1 0.1214 0.7921 0.4480  5 Ni 2.44-2.61, 3 Zn 2.68-2.72
Zn2 0.2079 0.5520 0.8786  5 Ni 2.44-2.61, 3 Zn 2.68-2.72
Zn3 0.3320 0.3320 0.3320  6 Ni 2.43
Zn4 0.4480 0.1214 0.7921  5 Ni 2.44-2.61, 3 Zn 2.68-2.72
Zn5 0.5520 0.8786 0.2079  5 Ni 2.44-2.61, 3 Zn 2.68-2.72
Zn6 0.6680 0.6680 0.6680  6 Ni 2.43
Zn7 0.7921 0.4480 0.1214  5 Ni 2.44-2.61, 3 Zn 2.68-2.72
Zn8 0.8786 0.2079 0.5520  5 Ni 2.44-2.61, 3 Zn 2.68-2.72
Ni1 0.0462 0.3792 0.7104  7 Zn 2.43-2.61, 1 Li 2.44, 3 Ni 2.68-2.70
Ni2 0.2896 0.9538 0.6208  7 Zn 2.43-2.61, 1 Li 2.44, 3 Ni 2.68-2.70
Ni3 0.3792 0.7104 0.0462  7 Zn 2.43-2.61, 1 Li 2.44, 3 Ni 2.68-2.70
Ni4 0.6208 0.2896 0.9538  7 Zn 2.43-2.61, 1 Li 2.44, 3 Ni 2.68-2.70
Ni5 0.7104 0.0462 0.3792  7 Zn 2.43-2.61, 1 Li 2.44, 3 Ni 2.68-2.70
Ni6 0.9538 0.6208 0.2896  7 Zn 2.43-2.61, 1 Li 2.44, 3 Ni 2.68-2.70



6.
DFT (PBE) results for an optimized crystal structure of VGaBi2.

Values from the calculation:
DOS(E_F) (states/eV/cell): 4.33
ρ (g cm⁻³): 8.2
SG: R-3m (166)
Energy of formation from the pure elements (eV/atom): 0.610

Cell lengths 11.4886, 11.4886, 11.4886 Å; angles 16.69, 16.69, 16.69 degrees
With the nearest neighbours (Å) after each atom.
Positions (direct):
V1 0.0000 0.0000 0.0000  2 Bi 2.84
Ga1 0.5000 0.5000 0.5000  6 Ga 3.33, 6 Bi 3.42
Bi1 0.0835 0.0835 0.0835  1 V 2.84
Bi2 0.9165 0.9165 0.9165  1 V 2.84



7.
DFT (PBE) results for an optimized crystal structure of Ta2CdSi.

Values from the calculation:
Raw total energy (eV/cell): -29.08
DOS(E_F) (states/eV/cell): 4.34
ρ (g cm⁻³): 11.4
SG: R3m (160)

Cell lengths 9.8940, 9.8940, 9.8940 Å; angles 17.13, 17.13, 17.13 degrees
With the nearest neighbours (Å) after each atom.
Positions (direct):
Ta1 0.0000 0.0000 0.0000  9 Ta 2.95-3.05, 3 Cd 3.11
Ta2 0.2469 0.2469 0.2469  3 Si 2.70, 6 Ta 2.95
Cd1 0.7558 0.7558 0.7558  6 Cd 2.95, 3 Si 3.04, 3 Ta 3.11
Si1 0.5084 0.5084 0.5084  3 Ta 2.70, 6 Si 2.95



8.
DFT (PBE) results for an optimized crystal structure of LiCaRhPb2.

Values from the calculation:
DOS(E_F) (states/eV/cell): 3.88
ρ (g cm⁻³): 7.0
SG: P4/mmm (123)
Energy of formation from the pure elements (eV/atom): -0.171

Cell lengths 5.2734, 5.2734, 4.7922 Å; angles 90.00, 90.00, 90.00 degrees
With the nearest neighbours (Å) after each atom.
Positions (direct):
Li1 0.0000 0.0000 0.0000  2 Rh 2.40
Ca1 0.5000 0.5000 0.0000  8 Pb 3.56, 4 Li 3.73
Rh1 0.0000 0.0000 0.5000  2 Li 2.40, 4 Pb 2.64
Pb1 0.0000 0.5000 0.5000  2 Rh 2.64
Pb2 0.5000 0.0000 0.5000  2 Rh 2.64



9.
DFT (PBE) results for an optimized crystal structure of Cs2TaPb.

Values from the calculation:
DOS(E_F) (states/eV/cell): 4.26
ρ (g cm⁻³): 6.4
Polymorph energy (0 for the lowest one) (meV/atom): 480
SG: Fm-3m (225)
Energy of formation from the pure elements (eV/atom): 1.510

Cell lengths 6.2180, 6.2180, 6.2180 Å; angles 60.00, 60.00, 60.00 degrees
With the nearest neighbours (Å) after each atom.
Positions (direct):
Cs1 0.2500 0.2500 0.2500  4 Ta 3.81, 4 Pb 3.81
Cs2 0.7500 0.7500 0.7500  4 Ta 3.81, 4 Pb 3.81
Ta1 0.0000 0.0000 0.0000  8 Cs 3.81
Pb1 0.5000 0.5000 0.5000  8 Cs 3.81



10.
DFT (PBE) results for an optimized crystal structure of SmGa2Pd3.

Values from the calculation:
DOS(E_F) (states/eV/cell): 9.38
ρ (g cm⁻³): 9.2
SG: C2/m (12)
Energy of formation from the pure elements (eV/atom): -0.788

Cell lengths 8.6718, 8.6718, 10.0446 Å; angles 106.92, 106.92, 27.14 degrees
With the nearest neighbours (Å) after each atom.
Positions (direct):
Sm1 0.0000 0.0000 0.0000  6 Pd 3.08-3.22, 6 Ga 3.15-3.23
Sm2 0.1632 0.1632 0.7052  6 Ga 3.15-3.20, 6 Pd 3.23-3.51
Sm3 0.8368 0.8368 0.2948  6 Ga 3.15-3.20, 6 Pd 3.23-3.51
Ga1 0.1951 0.1951 0.1276  6 Pd 2.55-2.63
Ga2 0.3616 0.3616 0.5445  7 Pd 2.48-2.66
Ga3 0.4603 0.4603 0.2218  5 Pd 2.50-2.72
Ga4 0.5397 0.5397 0.7782  5 Pd 2.50-2.72
Ga5 0.6384 0.6384 0.4555  7 Pd 2.48-2.66
Ga6 0.8049 0.8049 0.8724  6 Pd 2.55-2.63
Pd1 0.0415 0.0415 0.3349  4 Ga 2.52-2.66, 1 Pd 2.82
Pd2 0.2158 0.2158 0.3920  4 Ga 2.48-2.60
Pd3 0.3218 0.3218 0.0382  4 Ga 2.50-2.59
Pd4 0.3842 0.3842 0.8053  4 Ga 2.53-2.72
Pd5 0.5000 0.5000 0.5000  4 Ga 2.50-2.67
Pd6 0.6158 0.6158 0.1947  4 Ga 2.53-2.72
Pd7 0.6782 0.6782 0.9618  4 Ga 2.50-2.59
Pd8 0.7842 0.7842 0.6080  4 Ga 2.48-2.60
Pd9 0.9585 0.9585 0.6651  4 Ga 2.52-2.66, 1 Pd 2.82



Look up the ρ of the sixth one. 8.2 g cm⁻³